! HoTm2Mg3In3 PBE relaxed; values from VASP
! Space-group type: Amm2 (38)
! Electronic total energy in eV per atom: -3.297
&SYSTEM
  ibrav = 0, nat = 9, ntyp = 4
/
ATOMIC_SPECIES
Mg 24.30 Mg.upf
Tm 168.93 Tm.upf
In 114.82 In.upf
Ho 164.93 Ho.upf
CELL_PARAMETERS angstrom
-1.253 -4.453 0.437
-0.599 0.892 7.383
-5.888 1.223 -4.416
ATOMIC_POSITIONS crystal
Mg 0.500 0.242 0.242
Mg 0.500 0.759 0.000
Mg 0.500 0.000 0.759
Tm 0.000 0.436 0.000
Tm 0.000 0.000 0.436
In 0.500 0.667 0.332
In 0.500 0.332 0.667
In 0.000 0.002 0.002
Ho 0.000 0.563 0.563